(1)
First-principles (GGA-PBEsol) data for crystalline Mg14AlCuO16 at its relaxed geometry, as listed in Alexandria.

Cell: 8.465 8.465 4.185 Å, 90.00 90.00 90.00°
Fractional positions:
Mg (0.000, 0.245, 0.000)
Mg (0.000, 0.500, 0.500)
Mg (0.000, 0.755, 0.000)
Mg (0.245, 0.000, 0.000)
Mg (0.245, 0.245, 0.500)
Mg (0.245, 0.755, 0.500)
Mg (0.248, 0.500, 0.000)
Mg (0.500, 0.000, 0.500)
Mg (0.500, 0.248, 0.000)
Mg (0.500, 0.752, 0.000)
Mg (0.752, 0.500, 0.000)
Mg (0.755, 0.000, 0.000)
Mg (0.755, 0.245, 0.500)
Mg (0.755, 0.755, 0.500)
Al (0.500, 0.500, 0.500)
Cu (0.000, 0.000, 0.500)
O (0.000, 0.000, 0.000)
O (0.000, 0.268, 0.500)
O (0.000, 0.500, 0.000)
O (0.000, 0.732, 0.500)
O (0.251, 0.251, 0.000)
O (0.251, 0.749, 0.000)
O (0.268, 0.000, 0.500)
O (0.272, 0.500, 0.500)
O (0.500, 0.000, 0.000)
O (0.500, 0.272, 0.500)
O (0.500, 0.500, 0.000)
O (0.500, 0.728, 0.500)
O (0.728, 0.500, 0.500)
O (0.732, 0.000, 0.500)
O (0.749, 0.251, 0.000)
O (0.749, 0.749, 0.000)

- Energy relative to the elements, uncorrected: -2.6012 eV per atom
- DOS at the Fermi energy: 0.43 states/eV/f.u.
- Polymorph energy (0 for the lowest one): 15 meV/atom
- Calculated total energy: -199.69 eV/cell

=====

(2)
First-principles (GGA-PBEsol) data for crystalline MnAsP2 at its relaxed geometry, as listed in Alexandria.

Cell: 2.888 2.888 6.736 Å, 90.00 90.00 90.00°
Fractional positions:
Mn (0.000, 0.000, 0.000)
As (0.500, 0.500, 0.763)
P (0.000, 0.000, 0.363)
P (0.500, 0.500, 0.176)

- DOS at the Fermi energy: 1.85 states/eV/f.u.
- DFT formation energy: -0.001 eV per atom
- Calculated total energy: -26.45 eV/cell

=====

(3)
First-principles (GGA-PBEsol) data for crystalline ZnCu at its relaxed geometry, as listed in Alexandria.

Cell: 8.305 7.193 5.011 Å, 90.00 90.00 90.00°
Fractional positions:
Zn (0.110, 0.063, 0.250)
Zn (0.110, 0.437, 0.750)
Zn (0.361, 0.599, 0.250)
Zn (0.361, 0.901, 0.750)
Zn (0.380, 0.250, 0.000)
Zn (0.380, 0.250, 0.500)
Zn (0.620, 0.750, 0.000)
Zn (0.620, 0.750, 0.500)
Zn (0.639, 0.099, 0.250)
Zn (0.639, 0.401, 0.750)
Zn (0.890, 0.563, 0.250)
Zn (0.890, 0.937, 0.750)
Cu (0.122, 0.750, 0.000)
Cu (0.122, 0.750, 0.500)
Cu (0.135, 0.107, 0.750)
Cu (0.135, 0.393, 0.250)
Cu (0.380, 0.565, 0.750)
Cu (0.380, 0.935, 0.250)
Cu (0.620, 0.065, 0.750)
Cu (0.620, 0.435, 0.250)
Cu (0.865, 0.607, 0.750)
Cu (0.865, 0.893, 0.250)
Cu (0.878, 0.250, 0.000)
Cu (0.878, 0.250, 0.500)

- DOS at the Fermi energy: 0.47 states/eV/f.u.
- DFT formation energy: -0.054 eV per atom
- Calculated total energy: -72.28 eV/cell

=====

(4)
First-principles (GGA-PBEsol) data for crystalline CuNiRh at its relaxed geometry, as listed in Alexandria.

Cell: 2.586 2.586 6.190 Å, 90.00 90.00 120.00°
Fractional positions:
Cu (0.000, 0.000, 0.000)
Ni (0.333, 0.667, 0.680)
Rh (0.667, 0.333, 0.348)

- DOS at the Fermi energy: 3.57 states/eV/f.u.
- DFT formation energy: 0.074 eV per atom
- Polymorph energy (0 for the lowest one): 0 meV/atom
- Calculated total energy: -18.41 eV/cell

=====

- Look up the DOS at the Fermi energy of the first one.
  0.43 states/eV/f.u.